A relaxed structure of NaRuI2, computed with PBE.

It has space group I-42d (No. 122), with a = 6.585 Å, b = 6.585 Å, c = 13.006 Å, α = 90.00°, β = 90.00° and γ = 90.00°. The inequivalent atoms are Na at (0.000, 0.000, 0.000), Ru at (0.000, 0.000, 0.500) and I at (0.186, 0.250, 0.625).

Its density of states at the Fermi level is 3.25 states/eV/f.u.



A relaxed structure of NaRuI3, computed with PBE.

It has space group Pm-3m (No. 221), with a = 5.538 Å, b = 5.538 Å, c = 5.538 Å, α = 90.00°, β = 90.00° and γ = 90.00°. The inequivalent atoms are Na at (0.000, 0.000, 0.000), Ru at (0.500, 0.500, 0.500) and I at (0.000, 0.500, 0.500).

Its density of states at the Fermi level is 8.67 states/eV/f.u.



A relaxed structure of Na2RuI, computed with PBE.

It has space group Fm-3m (No. 225), with a = 7.470 Å, b = 7.470 Å, c = 7.470 Å, α = 90.00°, β = 90.00° and γ = 90.00°. The inequivalent atoms are Na at (0.250, 0.250, 0.250), Ru at (0.000, 0.000, 0.000) and I at (0.000, 0.000, 0.500).

Its density of states at the Fermi level is 8.43 states/eV/f.u.



A relaxed structure of Na2RuI, computed with PBE.

It has space group I-42d (No. 122), with a = 11.360 Å, b = 11.360 Å, c = 4.937 Å, α = 90.00°, β = 90.00° and γ = 90.00°. The inequivalent atoms are Na at (0.004, 0.750, 0.125), Ru at (0.000, 0.000, 0.000) and I at (0.000, 0.000, 0.500).

Its density of states at the Fermi level is 4.57 states/eV/f.u.



A relaxed structure of NaRu3I, computed with PBE.

It has space group Pm-3m (No. 221), with a = 4.891 Å, b = 4.891 Å, c = 4.891 Å, α = 90.00°, β = 90.00° and γ = 90.00°. The inequivalent atoms are Na at (0.000, 0.000, 0.000), Ru at (0.000, 0.500, 0.500) and I at (0.500, 0.500, 0.500).

Its density of states at the Fermi level is 6.18 states/eV/f.u.



A relaxed structure of NaRuI2, computed with PBE.

It has space group Fm-3m (No. 225), with a = 7.499 Å, b = 7.499 Å, c = 7.499 Å, α = 90.00°, β = 90.00° and γ = 90.00°. The inequivalent atoms are Na at (0.000, 0.000, 0.000), Ru at (0.000, 0.000, 0.500) and I at (0.250, 0.250, 0.250).

Its density of states at the Fermi level is 0.00 states/eV/f.u.



Number 1: formation energy from raw total energies 0.04 eV/atom, excess energy over the best structure of this formula in the dataset 0.000 eV/f.u., volume 564 Å³/cell. Number 2: formation energy from raw total energies -0.11 eV/atom, excess energy over the best structure of this formula in the dataset 0.000 eV/f.u., volume 170 Å³/cell. Number 3: formation energy from raw total energies 0.61 eV/atom, excess energy over the best structure of this formula in the dataset 0.852 eV/f.u., volume 417 Å³/cell. Number 4: formation energy from raw total energies 0.40 eV/atom, excess energy over the best structure of this formula in the dataset 0.000 eV/f.u., volume 637 Å³/cell. Number 5: formation energy from raw total energies 1.56 eV/atom, excess energy over the best structure of this formula in the dataset 0.000 eV/f.u., volume 117 Å³/cell. Number 6: formation energy from raw total energies 0.24 eV/atom, excess energy over the best structure of this formula in the dataset 0.805 eV/f.u., volume 422 Å³/cell.